No. 1
## CoAs2W (PBE-GGA)

Data for a relaxed structure of CoAs2W.

volume	14.705	Å³ per atom

Lattice parameters (Å, degrees): 4.680 4.680 4.680 137.04 120.20 76.41
Positions (direct):
Co 0.000 0.000 0.000
As 0.218 0.718 0.500
As 0.782 0.282 0.500
W 0.500 0.500 0.000

---

No. 2
## YAl2Sb (PBE-GGA)

Data for a relaxed structure of YAl2Sb.

volume	22.774	Å³ per atom
energy relative to the elements, uncorrected	-229.4	meV per atom

Lattice parameters (Å, degrees): 3.196 5.145 5.539 90.00 90.00 90.00
Positions (direct):
Y 0.000 0.000 0.000
Al 0.500 0.500 0.240
Al 0.500 0.500 0.760
Sb 0.500 0.000 0.500

---

No. 3
## VCrRe (PBE-GGA)

Data for a relaxed structure of VCrRe.

volume	13.357	Å³ per atom

Lattice parameters (Å, degrees): 4.203 4.203 2.619 90.00 90.00 120.00
Positions (direct):
V 0.000 0.000 0.000
Cr 0.667 0.333 0.673
Re 0.333 0.667 0.342

---

No. 4
## K2Cr2Co (PBE-GGA)

Data for a relaxed structure of K2Cr2Co.

volume	21.640	Å³ per atom

Lattice parameters (Å, degrees): 7.831 7.831 7.831 151.63 151.63 40.55
Positions (direct):
K 0.250 0.750 0.500
K 0.750 0.250 0.500
Cr 0.060 0.060 0.000
Cr 0.940 0.940 0.000
Co 0.500 0.500 0.000

---

No. 5
## SmTmCu10 (PBE-GGA)

Data for a relaxed structure of SmTmCu10.

volume	15.027	Å³ per atom

Lattice parameters (Å, degrees): 4.105 5.057 8.686 90.00 90.00 90.00
Positions (direct):
Sm 0.000 0.000 0.000
Tm 0.000 0.500 0.500
Cu 0.000 0.000 0.337
Cu 0.000 0.000 0.663
Cu 0.000 0.500 0.171
Cu 0.000 0.500 0.829
Cu 0.500 0.000 0.500
Cu 0.500 0.252 0.253
Cu 0.500 0.252 0.747
Cu 0.500 0.500 0.000
Cu 0.500 0.748 0.253
Cu 0.500 0.748 0.747

---

No. 6
## Tl2SiF4 (PBE-GGA)

Data for a relaxed structure of Tl2SiF4.

volume	22.235	Å³ per atom
energy relative to the elements, uncorrected	-2049.8	meV per atom

Lattice parameters (Å, degrees): 6.022 6.022 5.933 118.55 118.55 92.28
Positions (direct):
Tl 0.220 0.780 0.000
Tl 0.780 0.220 0.000
Si 0.441 0.441 0.439
F 0.255 0.679 0.466
F 0.615 0.615 0.835
F 0.631 0.631 0.411
F 0.679 0.255 0.466

---

no.,size of the total moment (μB per formula unit),uncorrected energy (eV for the cell shown)
1,0.00,-28.020
2,0.00,-18.989
3,0.00,-31.719
4,1.56,-20.474
5,0.00,-52.378
6,0.00,-31.990